Below is Y2SbSe after structural relaxation, with properties calculated at the PBE level.

Summary:
Calculated density: 5.805 Mg/m³
E_tot: -0.48558 Ry per atom
Crystal system: orthorhombic
Formation energy from raw total energies: -1.4729 eV/atom

```
data_Y2SbSe
_chemical_formula_sum 'Y4 Sb2 Se2'
_cell_length_a 4.235
_cell_length_b 6.023
_cell_length_c 8.490
_cell_angle_alpha 90.00
_cell_angle_beta 90.00
_cell_angle_gamma 90.00
_symmetry_space_group_name_H-M 'P 1'
_symmetry_Int_Tables_number 1
loop_
_symmetry_equiv_pos_as_xyz
'x,y,z'
loop_
_atom_site_label
_atom_site_fract_x
_atom_site_fract_y
_atom_site_fract_z
Y1 0.250 0.250 0.117
Y2 0.250 0.250 0.634
Y3 0.750 0.750 0.366
Y4 0.750 0.750 0.883
Sb1 0.250 0.750 0.627
Sb2 0.750 0.250 0.373
Se1 0.250 0.750 0.122
Se2 0.750 0.250 0.878
```



Below is Y2SbSe after structural relaxation, with properties calculated at the PBE level.

Summary:
Calculated density: 6.220 Mg/m³
E_tot: -0.46181 Ry per atom
Crystal system: tetragonal
Formation energy from raw total energies: -1.1495 eV/atom

```
data_Y2SbSe
_chemical_formula_sum 'Y2 Sb1 Se1'
_cell_length_a 5.292
_cell_length_b 5.292
_cell_length_c 3.609
_cell_angle_alpha 90.00
_cell_angle_beta 90.00
_cell_angle_gamma 90.00
_symmetry_space_group_name_H-M 'P 1'
_symmetry_Int_Tables_number 1
loop_
_symmetry_equiv_pos_as_xyz
'x,y,z'
loop_
_atom_site_label
_atom_site_fract_x
_atom_site_fract_y
_atom_site_fract_z
Y1 0.000 0.500 0.000
Y2 0.500 0.000 0.000
Sb1 0.000 0.000 0.500
Se1 0.500 0.500 0.500
```



Below is YSb2Se after structural relaxation, with properties calculated at the PBE level.

Summary:
Calculated density: 6.051 Mg/m³
E_tot: -0.39548 Ry per atom
Crystal system: orthorhombic
Formation energy from raw total energies: -0.8325 eV/atom

```
data_YSb2Se
_chemical_formula_sum 'Y1 Sb2 Se1'
_cell_length_a 3.903
_cell_length_b 7.411
_cell_length_c 7.411
_cell_angle_alpha 31.78
_cell_angle_beta 90.00
_cell_angle_gamma 90.00
_symmetry_space_group_name_H-M 'P 1'
_symmetry_Int_Tables_number 1
loop_
_symmetry_equiv_pos_as_xyz
'x,y,z'
loop_
_atom_site_label
_atom_site_fract_x
_atom_site_fract_y
_atom_site_fract_z
Y1 0.000 0.000 0.000
Sb1 0.000 0.243 0.243
Sb2 0.500 0.817 0.817
Se1 0.500 0.544 0.544
```



Below is Y3SbSe2 after structural relaxation, with properties calculated at the PBE level.

Summary:
Calculated density: 5.794 Mg/m³
E_tot: -0.48886 Ry per atom
Crystal system: orthorhombic
Formation energy from raw total energies: -1.5707 eV/atom

```
data_Y3SbSe2
_chemical_formula_sum 'Y3 Sb1 Se2'
_cell_length_a 7.258
_cell_length_b 7.258
_cell_length_c 7.258
_cell_angle_alpha 146.42
_cell_angle_beta 131.64
_cell_angle_gamma 60.16
_symmetry_space_group_name_H-M 'P 1'
_symmetry_Int_Tables_number 1
loop_
_symmetry_equiv_pos_as_xyz
'x,y,z'
loop_
_atom_site_label
_atom_site_fract_x
_atom_site_fract_y
_atom_site_fract_z
Y1 0.000 0.000 0.000
Y2 0.326 0.326 0.000
Y3 0.674 0.674 0.000
Sb1 0.500 0.000 0.500
Se1 0.165 0.665 0.500
Se2 0.835 0.335 0.500
```



Below is YSb2Se4 after structural relaxation, with properties calculated at the PBE level.

Summary:
Calculated density: 5.606 Mg/m³
E_tot: -0.35018 Ry per atom
Crystal system: orthorhombic
Formation energy from raw total energies: -0.6721 eV/atom

```
data_YSb2Se4
_chemical_formula_sum 'Y2 Sb4 Se8'
_cell_length_a 6.977
_cell_length_b 6.977
_cell_length_c 13.486
_cell_angle_alpha 90.00
_cell_angle_beta 90.00
_cell_angle_gamma 144.19
_symmetry_space_group_name_H-M 'P 1'
_symmetry_Int_Tables_number 1
loop_
_symmetry_equiv_pos_as_xyz
'x,y,z'
loop_
_atom_site_label
_atom_site_fract_x
_atom_site_fract_y
_atom_site_fract_z
Y1 0.122 0.878 0.750
Y2 0.878 0.122 0.250
Sb1 0.375 0.625 0.561
Sb2 0.375 0.625 0.939
Sb3 0.625 0.375 0.061
Sb4 0.625 0.375 0.439
Se1 0.000 0.000 0.000
Se2 0.000 0.000 0.500
Se3 0.277 0.723 0.123
Se4 0.277 0.723 0.377
Se5 0.479 0.521 0.750
Se6 0.521 0.479 0.250
Se7 0.723 0.277 0.623
Se8 0.723 0.277 0.877
```



Below is Y2SbSe after structural relaxation, with properties calculated at the PBE level.

Summary:
Calculated density: 6.153 Mg/m³
E_tot: -0.46229 Ry per atom
Crystal system: monoclinic
Formation energy from raw total energies: -1.1561 eV/atom

```
data_Y2SbSe
_chemical_formula_sum 'Y2 Sb1 Se1'
_cell_length_a 5.339
_cell_length_b 5.339
_cell_length_c 3.619
_cell_angle_alpha 95.58
_cell_angle_beta 95.58
_cell_angle_gamma 90.54
_symmetry_space_group_name_H-M 'P 1'
_symmetry_Int_Tables_number 1
loop_
_symmetry_equiv_pos_as_xyz
'x,y,z'
loop_
_atom_site_label
_atom_site_fract_x
_atom_site_fract_y
_atom_site_fract_z
Y1 0.000 0.500 0.000
Y2 0.500 0.000 0.000
Sb1 0.000 0.000 0.500
Se1 0.500 0.500 0.500
```



Below is Y5SbSe5 after structural relaxation, with properties calculated at the PBE level.

Summary:
Calculated density: 5.307 Mg/m³
E_tot: -0.48705 Ry per atom
Crystal system: monoclinic
Formation energy from raw total energies: -1.7297 eV/atom

```
data_Y5SbSe5
_chemical_formula_sum 'Y5 Sb1 Se5'
_cell_length_a 7.143
_cell_length_b 7.143
_cell_length_c 8.278
_cell_angle_alpha 106.65
_cell_angle_beta 106.65
_cell_angle_gamma 48.58
_symmetry_space_group_name_H-M 'P 1'
_symmetry_Int_Tables_number 1
loop_
_symmetry_equiv_pos_as_xyz
'x,y,z'
loop_
_atom_site_label
_atom_site_fract_x
_atom_site_fract_y
_atom_site_fract_z
Y1 0.000 0.000 0.000
Y2 0.332 0.332 0.657
Y3 0.334 0.334 0.178
Y4 0.666 0.666 0.822
Y5 0.668 0.668 0.343
Sb1 0.500 0.500 0.000
Se1 0.164 0.164 0.334
Se2 0.171 0.171 0.837
Se3 0.500 0.500 0.500
Se4 0.829 0.829 0.163
Se5 0.836 0.836 0.666
```



Below is YSb2Se after structural relaxation, with properties calculated at the PBE level.

Summary:
Calculated density: 6.639 Mg/m³
E_tot: -0.36895 Ry per atom
Crystal system: tetragonal
Formation energy from raw total energies: -0.4715 eV/atom

```
data_YSb2Se
_chemical_formula_sum 'Y1 Sb2 Se1'
_cell_length_a 6.125
_cell_length_b 6.125
_cell_length_c 6.125
_cell_angle_alpha 137.71
_cell_angle_beta 137.71
_cell_angle_gamma 61.35
_symmetry_space_group_name_H-M 'P 1'
_symmetry_Int_Tables_number 1
loop_
_symmetry_equiv_pos_as_xyz
'x,y,z'
loop_
_atom_site_label
_atom_site_fract_x
_atom_site_fract_y
_atom_site_fract_z
Y1 0.000 0.000 0.000
Sb1 0.250 0.750 0.500
Sb2 0.500 0.500 0.000
Se1 0.750 0.250 0.500
```



Below is Y2SbSe after structural relaxation, with properties calculated at the PBE level.

Summary:
Calculated density: 4.807 Mg/m³
E_tot: -0.41844 Ry per atom
Crystal system: trigonal
Formation energy from raw total energies: -0.5594 eV/atom

```
data_Y2SbSe
_chemical_formula_sum 'Y2 Sb1 Se1'
_cell_length_a 10.429
_cell_length_b 10.429
_cell_length_c 10.429
_cell_angle_alpha 21.27
_cell_angle_beta 21.27
_cell_angle_gamma 21.27
_symmetry_space_group_name_H-M 'P 1'
_symmetry_Int_Tables_number 1
loop_
_symmetry_equiv_pos_as_xyz
'x,y,z'
loop_
_atom_site_label
_atom_site_fract_x
_atom_site_fract_y
_atom_site_fract_z
Y1 0.000 0.000 0.000
Y2 0.228 0.228 0.228
Sb1 0.487 0.487 0.487
Se1 0.718 0.718 0.718
```



Below is Y2SbSe after structural relaxation, with properties calculated at the PBE level.

Summary:
Calculated density: 6.170 Mg/m³
E_tot: -0.46176 Ry per atom
Crystal system: cubic
Formation energy from raw total energies: -1.1487 eV/atom

```
data_Y2SbSe
_chemical_formula_sum 'Y2 Sb1 Se1'
_cell_length_a 5.243
_cell_length_b 5.243
_cell_length_c 5.243
_cell_angle_alpha 60.00
_cell_angle_beta 60.00
_cell_angle_gamma 60.00
_symmetry_space_group_name_H-M 'P 1'
_symmetry_Int_Tables_number 1
loop_
_symmetry_equiv_pos_as_xyz
'x,y,z'
loop_
_atom_site_label
_atom_site_fract_x
_atom_site_fract_y
_atom_site_fract_z
Y1 0.250 0.250 0.250
Y2 0.750 0.750 0.750
Sb1 0.000 0.000 0.000
Se1 0.500 0.500 0.500
```



Below is YSb2Se after structural relaxation, with properties calculated at the PBE level.

Summary:
Calculated density: 6.533 Mg/m³
E_tot: -0.36392 Ry per atom
Crystal system: cubic
Formation energy from raw total energies: -0.4030 eV/atom

```
data_YSb2Se
_chemical_formula_sum 'Y1 Sb2 Se1'
_cell_length_a 5.288
_cell_length_b 5.288
_cell_length_c 5.288
_cell_angle_alpha 60.00
_cell_angle_beta 60.00
_cell_angle_gamma 60.00
_symmetry_space_group_name_H-M 'P 1'
_symmetry_Int_Tables_number 1
loop_
_symmetry_equiv_pos_as_xyz
'x,y,z'
loop_
_atom_site_label
_atom_site_fract_x
_atom_site_fract_y
_atom_site_fract_z
Y1 0.000 0.000 0.000
Sb1 0.250 0.250 0.250
Sb2 0.500 0.500 0.500
Se1 0.750 0.750 0.750
```



Below is Y4SbSe3 after structural relaxation, with properties calculated at the PBE level.

Summary:
Calculated density: 5.793 Mg/m³
E_tot: -0.49023 Ry per atom
Crystal system: orthorhombic
Formation energy from raw total energies: -1.6160 eV/atom

```
data_Y4SbSe3
_chemical_formula_sum 'Y4 Sb1 Se3'
_cell_length_a 7.221
_cell_length_b 7.221
_cell_length_c 4.161
_cell_angle_alpha 90.00
_cell_angle_beta 90.00
_cell_angle_gamma 109.33
_symmetry_space_group_name_H-M 'P 1'
_symmetry_Int_Tables_number 1
loop_
_symmetry_equiv_pos_as_xyz
'x,y,z'
loop_
_atom_site_label
_atom_site_fract_x
_atom_site_fract_y
_atom_site_fract_z
Y1 0.238 0.238 0.500
Y2 0.244 0.756 0.000
Y3 0.756 0.244 0.000
Y4 0.762 0.762 0.500
Sb1 0.500 0.500 0.000
Se1 0.000 0.000 0.000
Se2 0.000 0.500 0.500
Se3 0.500 0.000 0.500
```